(1)
Crystalline GeP3N at its relaxed geometry. Source: the Alexandria database, functional GGA-PBE.

- ΔE to the lowest computed polymorph (meV per atom) = 1150.4
- N(E_F) (states/eV per atom) = 0.573
- VASP energy (eV/cell) = -18.8
- formation energy without anion corrections (eV/atom) = 2.07

Lattice parameters (Å, degrees): 4.7363 4.7363 4.7363 90.00 90.00 90.00
Space group Pm-3m (No. 221)
Inequivalent atoms, fractional coordinates:
Ge  0.0000  0.0000  0.0000 [1 per cell]
P  0.0000  0.0000  0.5000 [3 per cell]
N  0.5000  0.5000  0.5000 [1 per cell]

(2)
Crystalline KAlRu3 at its relaxed geometry. Source: the Alexandria database, functional GGA-PBE.

- ΔE to the lowest computed polymorph (meV per atom) = 1435.1
- N(E_F) (states/eV per atom) = 1.273
- formation enthalpy at 0 K (meV per atom) = 2727.0
- VASP energy (eV/cell) = -19.0

Lattice parameters (Å, degrees): 4.5385 4.5385 4.5385 90.00 90.00 90.00
Space group Pm-3m (No. 221)
Inequivalent atoms, fractional coordinates:
K  0.0000  0.0000  0.0000 [1 per cell]
Al  0.5000  0.5000  0.5000 [1 per cell]
Ru  0.0000  0.0000  0.5000 [3 per cell]

(3)
Crystalline CaTa2As at its relaxed geometry. Source: the Alexandria database, functional GGA-PBE.

- N(E_F) (states/eV per atom) = 1.200
- formation enthalpy at 0 K (meV per atom) = 329.5
- VASP energy (eV/cell) = -58.1

Lattice parameters (Å, degrees): 3.5705 4.9399 9.3089 90.00 90.00 90.00
Space group Cmmm (No. 65)
Inequivalent atoms, fractional coordinates:
Ca  0.0000  0.0000  0.0000 [2 per cell]
Ta  0.0000  0.5000  0.2947 [4 per cell]
As  0.0000  0.0000  0.5000 [2 per cell]

(4)
Crystalline Er3Ga2Pt at its relaxed geometry. Source: the Alexandria database, functional GGA-PBE.

- N(E_F) (states/eV per atom) = 0.827
- formation enthalpy at 0 K (meV per atom) = -798.6
- VASP energy (eV/cell) = -122.3

Lattice parameters (Å, degrees): 11.6413 4.3780 10.9321 90.00 90.00 90.00
Space group Pnma (No. 62)
Inequivalent atoms, fractional coordinates:
Er  0.0486  0.2500  0.1281 [4 per cell]
Er  0.1208  0.7500  0.5643 [4 per cell]
Er  0.2232  0.2500  0.8099 [4 per cell]
Ga  0.0119  0.7500  0.3055 [4 per cell]
Ga  0.1867  0.7500  0.0154 [4 per cell]
Pt  0.1242  0.2500  0.3819 [4 per cell]

(5)
Crystalline Ti2InNi at its relaxed geometry. Source: the Alexandria database, functional GGA-PBE.

- ΔE to the lowest computed polymorph (meV per atom) = 156.2
- N(E_F) (states/eV per atom) = 1.175
- formation enthalpy at 0 K (meV per atom) = -75.0
- VASP energy (eV/cell) = -98.4

Lattice parameters (Å, degrees): 6.4352 6.4352 6.4352 90.00 90.00 90.00
Space group Fm-3m (No. 225)
Inequivalent atoms, fractional coordinates:
Ti  0.2500  0.2500  0.2500 [8 per cell]
In  0.0000  0.0000  0.0000 [4 per cell]
Ni  0.0000  0.0000  0.5000 [4 per cell]

(6)
Crystalline YHg2Au at its relaxed geometry. Source: the Alexandria database, functional GGA-PBE.

- N(E_F) (states/eV per atom) = 0.663
- formation enthalpy at 0 K (meV per atom) = -330.2
- VASP energy (eV/cell) = -35.0

Lattice parameters (Å, degrees): 4.2306 4.2306 20.4027 90.00 90.00 120.00
Space group R3m (No. 160, hexagonal axes)
Inequivalent atoms, fractional coordinates:
Y  0.0000  0.0000  0.0000 [3 per cell]
Hg  0.0000  0.0000  0.2363 [3 per cell]
Hg  0.0000  0.0000  0.4848 [3 per cell]
Au  0.0000  0.0000  0.7429 [3 per cell]

(7)
Crystalline Sc4Br3 at its relaxed geometry. Source: the Alexandria database, functional GGA-PBE.

- N(E_F) (states/eV per atom) = 0.541
- VASP energy (eV/cell) = -71.8
- formation energy without anion corrections (eV/atom) = -0.80

Lattice parameters (Å, degrees): 3.4702 3.4702 29.4525 90.00 90.00 90.00
Space group I4/mmm (No. 139)
Inequivalent atoms, fractional coordinates:
Sc  0.0000  0.0000  0.0678 [4 per cell]
Sc  0.0000  0.0000  0.3622 [4 per cell]
Br  0.0000  0.0000  0.1882 [4 per cell]
Br  0.0000  0.0000  0.5000 [2 per cell]

(8)
Crystalline MnNb6Ru5 at its relaxed geometry. Source: the Alexandria database, functional GGA-PBE.

- N(E_F) (states/eV per atom) = 1.112
- formation enthalpy at 0 K (meV per atom) = -177.8
- VASP energy (eV/cell) = -236.2

Lattice parameters (Å, degrees): 4.4500 6.2571 13.6738 90.00 90.00 90.00
Space group Immm (No. 71)
Inequivalent atoms, fractional coordinates:
Mn  0.0000  0.0000  0.0000 [2 per cell]
Nb  0.0000  0.2401  0.1588 [8 per cell]
Nb  0.0000  0.2671  0.5000 [4 per cell]
Ru  0.0000  0.0000  0.3349 [4 per cell]
Ru  0.0000  0.5000  0.0000 [2 per cell]
Ru  0.0000  0.5000  0.3165 [4 per cell]

(9)
Crystalline AgBI2O at its relaxed geometry. Source: the Alexandria database, functional GGA-PBE.

- ΔE to the lowest computed polymorph (meV per atom) = 1080.7
- N(E_F) (states/eV per atom) = 1.510
- VASP energy (eV/cell) = -12.0
- formation energy without anion corrections (eV/atom) = 1.11

Lattice parameters (Å, degrees): 5.6879 5.6879 4.0309 90.00 90.00 90.00
Space group P4/mmm (No. 123)
Inequivalent atoms, fractional coordinates:
Ag  0.0000  0.0000  0.0000 [1 per cell]
B  0.5000  0.5000  0.5000 [1 per cell]
I  0.0000  0.5000  0.0000 [2 per cell]
O  0.0000  0.0000  0.5000 [1 per cell]

(10)
Crystalline Ac5Bi4As at its relaxed geometry. Source: the Alexandria database, functional GGA-PBE.

- N(E_F) (states/eV per atom) = 0.138
- formation enthalpy at 0 K (meV per atom) = -1073.5
- VASP energy (eV/cell) = -102.9

Lattice parameters (Å, degrees): 4.8238 4.8238 34.0109 90.00 90.00 90.00
Space group I4/mmm (No. 139)
Inequivalent atoms, fractional coordinates:
Ac  0.0000  0.0000  0.0000 [2 per cell]
Ac  0.0000  0.0000  0.2001 [4 per cell]
Ac  0.0000  0.0000  0.4055 [4 per cell]
Bi  0.0000  0.0000  0.0993 [4 per cell]
Bi  0.0000  0.0000  0.3020 [4 per cell]
As  0.0000  0.0000  0.5000 [2 per cell]

(11)
Crystalline Al2CBrO at its relaxed geometry. Source: the Alexandria database, functional GGA-PBE.

- N(E_F) (states/eV per atom) = 0.489
- VASP energy (eV/cell) = -14.6
- formation energy without anion corrections (eV/atom) = 1.76

Lattice parameters (Å, degrees): 5.0311 5.0311 3.8287 90.00 90.00 90.00
Space group P4/mmm (No. 123)
Inequivalent atoms, fractional coordinates:
Al  0.0000  0.5000  0.0000 [2 per cell]
C  0.0000  0.0000  0.5000 [1 per cell]
Br  0.5000  0.5000  0.0000 [1 per cell]
O  0.5000  0.5000  0.5000 [1 per cell]

(12)
Crystalline K2AgW at its relaxed geometry. Source: the Alexandria database, functional GGA-PBE.

- ΔE to the lowest computed polymorph (meV per atom) = 114.0
- N(E_F) (states/eV per atom) = 0.978
- formation enthalpy at 0 K (meV per atom) = 1135.9
- VASP energy (eV/cell) = -40.4

Lattice parameters (Å, degrees): 3.0210 3.0210 35.6152 90.00 90.00 120.00
Space group R-3m (No. 166, hexagonal axes)
Inequivalent atoms, fractional coordinates:
K  0.0000  0.0000  0.2488 [6 per cell]
Ag  0.0000  0.0000  0.5000 [3 per cell]
W  0.0000  0.0000  0.0000 [3 per cell]